La2CoPIr at its PBEsol-relaxed geometry. Source: the Alexandria database, functional meta-GGA SCAN.

abc: 4.0406 5.1946 5.1946
angles: 90.00 90.00 90.00
Closest atoms and distances in Å follow each position.
Atoms (fractional coordinates):
Ir: 0.5000 0.5000 0.5000  8 La 3.29, 4 P 3.67
La: 0.0000 0.0000 0.5000  2 Co 2.60
La: 0.0000 0.5000 0.0000  2 Co 2.60
P: 0.5000 0.0000 0.0000  2 Co 2.02
Co: 0.0000 0.0000 0.0000  2 P 2.02

Results
Formation energy, eV per atom: -0.416
E, eV for the cell shown: -187.09
SG: P4/mmm, No. 123
Size of the total moment, μB/f.u.: 0.0


LaCoIr2Pt at its PBEsol-relaxed geometry. Source: the Alexandria database, functional meta-GGA SCAN.

abc: 4.3405 4.8034 4.8034
angles: 90.00 90.00 90.00
Closest atoms and distances in Å follow each position.
Atoms (fractional coordinates):
Pt: 0.5000 0.5000 0.5000  8 Ir 3.24, 4 Co 3.40
La: 0.0000 0.0000 0.0000  2 Co 2.17, 4 Ir 2.40
Ir: 0.0000 0.5000 0.0000  2 La 2.40
Ir: 0.0000 0.0000 0.5000  2 La 2.40
Co: 0.5000 0.0000 0.0000  2 La 2.17

Results
Formation energy, eV per atom: 2.109
E, eV for the cell shown: -262.26
SG: P4/mmm, No. 123
Size of the total moment, μB/f.u.: 1.4


Among the records above, which one has the lowest size of the total moment?
La2CoPIr


Among the records above, which one has the lowest size of the total moment?
La2CoPIr


Copy entry 2 word for word.
LaCoIr2Pt at its PBEsol-relaxed geometry. Source: the Alexandria database, functional meta-GGA SCAN.

abc: 4.3405 4.8034 4.8034
angles: 90.00 90.00 90.00
Closest atoms and distances in Å follow each position.
Atoms (fractional coordinates):
Pt: 0.5000 0.5000 0.5000  8 Ir 3.24, 4 Co 3.40
La: 0.0000 0.0000 0.0000  2 Co 2.17, 4 Ir 2.40
Ir: 0.0000 0.5000 0.0000  2 La 2.40
Ir: 0.0000 0.0000 0.5000  2 La 2.40
Co: 0.5000 0.0000 0.0000  2 La 2.17

Results
Formation energy, eV per atom: 2.109
E, eV for the cell shown: -262.26
SG: P4/mmm, No. 123
Size of the total moment, μB/f.u.: 1.4


The highest E belongs to which entry?
La2CoPIr